Below is a relaxed structure of AgNClF, with properties calculated at the PBE level.

Fermi-level density of states: 0.45 states/eV per atom
Total DFT energy (no corrections): -3.65 eV/atom
Crystal system: triclinic
Polymorph energy (0 for the lowest one): 10 meV/atom

CIF file:
```
data_AgNClF
_chemical_formula_sum 'Ag1 N1 Cl1 F1'
_cell_length_a 3.4553
_cell_length_b 3.4650
_cell_length_c 6.5063
_cell_angle_alpha 87.75
_cell_angle_beta 89.70
_cell_angle_gamma 60.16
_space_group_name_H-M_alt 'P 1'
_space_group_IT_number 1
loop_
_space_group_symop_operation_xyz
'x,y,z'
loop_
_atom_site_label
_atom_site_type_symbol
_atom_site_fract_x
_atom_site_fract_y
_atom_site_fract_z
Ag1 Ag 0.0000 0.0000 0.0000
N1 N 0.3274 0.3479 0.8448
Cl1 Cl 0.3180 0.3721 0.5915
F1 F 0.6739 0.6495 0.1800
```

Below is a relaxed structure of AgNClF, with properties calculated at the PBE level.

Total DFT energy (no corrections): -3.39 eV/atom
Crystal system: triclinic
Polymorph energy (0 for the lowest one): 269 meV/atom

CIF file:
```
data_AgNClF
_chemical_formula_sum 'Ag1 N1 Cl1 F1'
_cell_length_a 4.1845
_cell_length_b 4.5830
_cell_length_c 5.3347
_cell_angle_alpha 115.30
_cell_angle_beta 98.29
_cell_angle_gamma 106.39
_space_group_name_H-M_alt 'P 1'
_space_group_IT_number 1
loop_
_space_group_symop_operation_xyz
'x,y,z'
loop_
_atom_site_label
_atom_site_type_symbol
_atom_site_fract_x
_atom_site_fract_y
_atom_site_fract_z
Ag1 Ag 0.0000 0.0000 0.0000
N1 N 0.4399 0.7914 0.9813
Cl1 Cl 0.4553 0.6789 0.2642
F1 F 0.2871 0.4409 0.7096
```

Below is a relaxed structure of AgN2ClF, with properties calculated at the PBE level.

Fermi-level density of states: 0.27 states/eV per atom
Total DFT energy (no corrections): -2.99 eV/atom
Crystal system: tetragonal
Polymorph energy (0 for the lowest one): 94 meV/atom

CIF file:
```
data_AgN2ClF
_chemical_formula_sum 'Ag1 N2 Cl1 F1'
_cell_length_a 3.5562
_cell_length_b 3.5562
_cell_length_c 5.8490
_cell_angle_alpha 90.00
_cell_angle_beta 90.00
_cell_angle_gamma 90.00
_space_group_name_H-M_alt 'P 1'
_space_group_IT_number 1
loop_
_space_group_symop_operation_xyz
'x,y,z'
loop_
_atom_site_label
_atom_site_type_symbol
_atom_site_fract_x
_atom_site_fract_y
_atom_site_fract_z
Ag1 Ag 0.0000 0.0000 0.0000
N1 N 0.0000 0.5000 0.5000
N2 N 0.5000 0.0000 0.5000
Cl1 Cl 0.5000 0.5000 0.5000
F1 F 0.5000 0.5000 0.0000
```

Below is a relaxed structure of AgN2ClF, with properties calculated at the PBE level.

Fermi-level density of states: 0.94 states/eV per atom
Total DFT energy (no corrections): -3.08 eV/atom
Crystal system: tetragonal
Polymorph energy (0 for the lowest one): 0 meV/atom

CIF file:
```
data_AgN2ClF
_chemical_formula_sum 'Ag1 N2 Cl1 F1'
_cell_length_a 4.2768
_cell_length_b 4.2768
_cell_length_c 4.2039
_cell_angle_alpha 90.00
_cell_angle_beta 90.00
_cell_angle_gamma 90.00
_space_group_name_H-M_alt 'P 1'
_space_group_IT_number 1
loop_
_space_group_symop_operation_xyz
'x,y,z'
loop_
_atom_site_label
_atom_site_type_symbol
_atom_site_fract_x
_atom_site_fract_y
_atom_site_fract_z
Ag1 Ag 0.0000 0.0000 0.0000
N1 N 0.0000 0.5000 0.0000
N2 N 0.5000 0.0000 0.0000
Cl1 Cl 0.5000 0.5000 0.5000
F1 F 0.0000 0.0000 0.5000
```